Entry 1:
Compound: TiCdAg3
Source: the Alexandria database
Functional: PBE
Structure: optimized geometry

Energy relative to the elements = 1.0212 eV per atom

Unit cell a=5.0383 b=5.0383 c=5.0383 alpha=90.00 beta=90.00 gamma=90.00
Fractional coordinates of all 5 atoms:
Ag: 0.0000 0.0000 0.5000
Ti: 0.5000 0.5000 0.5000
Cd: 0.0000 0.0000 0.0000
Ag: 0.5000 0.0000 0.0000
Ag: 0.0000 0.5000 0.0000

=====

Entry 2:
Compound: TiCd5Ag4
Source: the Alexandria database
Functional: PBE
Structure: optimized geometry

Energy relative to the elements = -0.0385 eV per atom

Unit cell a=3.0414 b=3.0414 c=20.8837 alpha=90.00 beta=90.00 gamma=90.00
Each line ends with the local moment (μB).
Fractional coordinates of all 10 atoms:
Cd: 0.5000 0.5000 0.2993  0.00
Ag: 0.0000 0.0000 0.1997  0.00
Cd: 0.5000 0.5000 0.7007  0.00
Ti: 0.0000 0.0000 0.0000  0.90
Ag: 0.0000 0.0000 0.6001  0.00
Ag: 0.0000 0.0000 0.3999  0.00
Ag: 0.0000 0.0000 0.8003  0.00
Cd: 0.5000 0.5000 0.5000  0.00
Cd: 0.5000 0.5000 0.1001  0.01
Cd: 0.5000 0.5000 0.8999  0.01

=====

Entry 3:
Compound: Ti2Cd2Ag
Source: the Alexandria database
Functional: PBE
Structure: optimized geometry

Energy relative to the elements = -0.0521 eV per atom

Unit cell a=2.9640 b=2.9640 c=10.8690 alpha=97.84 beta=97.84 gamma=90.00
Fractional coordinates of all 5 atoms:
Cd: 0.6003 0.6003 0.2006
Ag: 0.0000 0.0000 0.0000
Cd: 0.3997 0.3997 0.7994
Ti: 0.7948 0.7948 0.5897
Ti: 0.2052 0.2052 0.4103

=====

Entry 4:
Compound: TiCd2Ag
Source: the Alexandria database
Functional: PBE
Structure: optimized geometry

Energy relative to the elements = 0.0598 eV per atom

Unit cell a=3.0152 b=3.0152 c=9.9977 alpha=81.32 beta=81.32 gamma=59.95
Each line ends with the local moment (μB).
Fractional coordinates of all 4 atoms:
Ag: 0.6670 0.6670 0.9993  0.00
Cd: 0.0831 0.0831 0.7506  0.01
Cd: 0.2502 0.2502 0.2498  0.02
Ti: 0.4996 0.4996 0.5003  0.43

=====

Entry 5:
Compound: TiCd2Ag2
Source: the Alexandria database
Functional: PBE
Structure: optimized geometry

Energy relative to the elements = 0.1835 eV per atom

Unit cell a=7.9974 b=7.9974 c=3.1146 alpha=90.00 beta=90.00 gamma=90.00
Each line ends with the local moment (μB).
Fractional coordinates of all 10 atoms:
Cd: 0.8677 0.3677 0.0000  0.02
Ag: 0.8318 0.6682 0.5000  0.02
Ti: 0.0000 0.0000 0.0000  1.60
Cd: 0.1323 0.6323 0.0000  0.02
Cd: 0.6323 0.8677 0.0000  0.02
Ag: 0.1682 0.3318 0.5000  0.02
Ti: 0.5000 0.5000 0.0000  1.60
Cd: 0.3677 0.1323 0.0000  0.02
Ag: 0.3318 0.8318 0.5000  0.02
Ag: 0.6682 0.1682 0.5000  0.02

=====

Entry 6:
Compound: TiCdAg4
Source: the Alexandria database
Functional: PBE
Structure: optimized geometry

Energy relative to the elements = 0.2039 eV per atom

Unit cell a=5.4508 b=5.4508 c=5.4508 alpha=60.00 beta=60.00 gamma=60.00
Each line ends with the local moment (μB).
Fractional coordinates of all 6 atoms:
Ag: 0.1255 0.6248 0.6248  -0.01
Cd: 0.0000 0.0000 0.0000  -0.02
Ti: 0.2500 0.2500 0.2500  0.71
Ag: 0.6248 0.1255 0.6248  -0.01
Ag: 0.6248 0.6248 0.6248  -0.01
Ag: 0.6248 0.6248 0.1255  -0.01

=====

Entry 7:
Compound: Ti2Cd2Ag
Source: the Alexandria database
Functional: PBE
Structure: optimized geometry

Energy relative to the elements = 0.2952 eV per atom

Unit cell a=8.2692 b=8.2692 c=2.9804 alpha=90.00 beta=90.00 gamma=90.00
Each line ends with the local moment (μB).
Fractional coordinates of all 10 atoms:
Ti: 0.8919 0.6081 0.0000  1.01
Cd: 0.8146 0.3146 0.5000  0.03
Ti: 0.3919 0.8919 0.0000  1.01
Cd: 0.6854 0.8146 0.5000  0.04
Cd: 0.3146 0.1854 0.5000  0.04
Ti: 0.6081 0.1081 0.0000  1.01
Ag: 0.5000 0.5000 0.0000  0.01
Ag: 0.0000 0.0000 0.0000  0.01
Cd: 0.1854 0.6854 0.5000  0.03
Ti: 0.1081 0.3919 0.0000  1.01

=====

Entry 8:
Compound: TiCd2Ag
Source: the Alexandria database
Functional: PBE
Structure: optimized geometry

Energy relative to the elements = 0.1161 eV per atom

Unit cell a=2.9310 b=4.7199 c=11.5995 alpha=90.00 beta=90.00 gamma=90.00
Fractional coordinates of all 8 atoms:
Ti: 0.2500 0.7500 0.9636
Ag: 0.7500 0.2500 0.5738
Cd: 0.2500 0.7500 0.6722
Cd: 0.2500 0.2500 0.8137
Cd: 0.7500 0.2500 0.3278
Ag: 0.2500 0.7500 0.4262
Ti: 0.7500 0.2500 0.0364
Cd: 0.7500 0.7500 0.1863

=====

Entry 9:
Compound: TiCd2Ag
Source: the Alexandria database
Functional: PBE
Structure: optimized geometry

Energy relative to the elements = 0.0827 eV per atom

Unit cell a=4.7505 b=4.7505 c=4.7505 alpha=60.00 beta=60.00 gamma=60.00
Fractional coordinates of all 4 atoms:
Cd: 0.2500 0.2500 0.2500
Cd: 0.7500 0.7500 0.7500
Ti: 0.0000 0.0000 0.0000
Ag: 0.5000 0.5000 0.5000

=====

Entry 10:
Compound: TiCdAg3
Source: the Alexandria database
Functional: PBE
Structure: optimized geometry

Energy relative to the elements = 0.9744 eV per atom

Unit cell a=5.0734 b=5.0734 c=5.0734 alpha=90.00 beta=90.00 gamma=90.00
Each line ends with the local moment (μB).
Fractional coordinates of all 5 atoms:
Ag: 0.5000 0.0000 0.0000  0.06
Ti: 0.0000 0.0000 0.0000  1.12
Ag: 0.0000 0.0000 0.5000  0.01
Cd: 0.5000 0.5000 0.5000  -0.01
Ag: 0.0000 0.5000 0.0000  0.02